[1]
Compound: Y2BeP
Source: Alexandria via LeMat-Bulk
Functional: PBE-GGA
Structure: relaxed

Results
* Fermi-level density of states: 3.73 states/eV/cell
* calculated formation energy: -365 meV/atom

Cell lengths 5.951, 5.951, 5.951 Å; angles 140.63, 140.63, 56.89 degrees
Atoms (fractional coordinates):
P1 0.750 0.250 0.500
Y1 0.250 0.750 0.500
Y2 0.000 0.000 0.000
Be1 0.500 0.500 0.000

[2]
Compound: YBe4P
Source: Alexandria via LeMat-Bulk
Functional: PBE-GGA
Structure: relaxed

Results
* Fermi-level density of states: 4.16 states/eV/cell
* calculated formation energy: 299 meV/atom

Cell lengths 4.801, 4.801, 4.801 Å; angles 60.00, 60.00, 60.00 degrees
Atoms (fractional coordinates):
Y1 0.000 0.000 0.000
Be1 0.883 0.372 0.372
Be2 0.372 0.883 0.372
Be3 0.372 0.372 0.883
Be4 0.372 0.372 0.372
P1 0.750 0.750 0.750

[3]
Compound: Y2BeP2
Source: Alexandria via LeMat-Bulk
Functional: PBE-GGA
Structure: relaxed

Results
* Fermi-level density of states: 0.10 states/eV/cell
* calculated formation energy: -861 meV/atom

Cell lengths 7.030, 7.030, 3.866 Å; angles 90.00, 90.00, 90.00 degrees
Atoms (fractional coordinates):
P1 0.844 0.656 0.000
Be1 0.500 0.500 0.000
Be2 0.000 0.000 0.000
P2 0.156 0.344 0.000
Y1 0.159 0.659 0.500
Y2 0.841 0.341 0.500
P3 0.656 0.156 0.000
Y3 0.659 0.841 0.500
P4 0.344 0.844 0.000
Y4 0.341 0.159 0.500

[4]
Compound: Y2BeP
Source: Alexandria via LeMat-Bulk
Functional: PBE-GGA
Structure: relaxed

Results
* Fermi-level density of states: 2.82 states/eV/cell
* calculated formation energy: -372 meV/atom

Cell lengths 5.003, 5.003, 5.003 Å; angles 125.50, 125.50, 80.72 degrees
Atoms (fractional coordinates):
Y1 0.500 0.500 0.000
P1 0.750 0.250 0.500
Y2 0.000 0.000 0.000
Be1 0.250 0.750 0.500

[5]
Compound: Y2BeP
Source: Alexandria via LeMat-Bulk
Functional: PBE-GGA
Structure: relaxed

Results
* Fermi-level density of states: 4.17 states/eV/cell
* calculated formation energy: -586 meV/atom

Cell lengths 3.939, 3.939, 7.199 Å; angles 74.15, 74.15, 59.95 degrees
Atoms (fractional coordinates):
P1 0.250 0.250 0.250
Y1 0.506 0.506 0.483
Y2 0.994 0.994 0.017
Be1 0.750 0.750 0.750

[6]
Compound: Y2ZrBeP
Source: Alexandria via LeMat-Bulk
Functional: PBE-GGA
Structure: relaxed

Results
* Fermi-level density of states: 4.43 states/eV/cell
* calculated formation energy: 999 meV/atom

Cell lengths 5.394, 4.412, 5.394 Å; angles 90.00, 90.00, 90.00 degrees
Atoms (fractional coordinates):
Zr1 0.000 0.000 0.000
P1 0.500 0.500 0.500
Y1 0.500 0.000 0.000
Y2 0.000 0.000 0.500
Be1 0.000 0.500 0.000

[7]
Compound: BeZn2P
Source: Alexandria via LeMat-Bulk
Functional: PBE-GGA
Structure: relaxed

Results
* Fermi-level density of states: 1.96 states/eV/cell
* calculated formation energy: 248 meV/atom

Cell lengths 3.200, 3.200, 5.697 Å; angles 90.00, 90.00, 90.00 degrees
Atoms (fractional coordinates):
Zn1 0.000 0.000 0.004
Be1 0.000 0.000 0.584
Zn2 0.500 0.500 0.246
P1 0.500 0.500 0.666

[8]
Compound: BeZn2P
Source: Alexandria via LeMat-Bulk
Functional: PBE-GGA
Structure: relaxed

Results
* Fermi-level density of states: 0.60 states/eV/cell
* calculated formation energy: 172 meV/atom

Cell lengths 4.455, 4.455, 5.681 Å; angles 104.11, 104.11, 35.34 degrees
Atoms (fractional coordinates):
Be1 0.511 0.511 0.454
Zn1 0.893 0.893 0.081
Zn2 0.204 0.204 0.299
P1 0.892 0.892 0.666

[9]
Compound: BeZn2P
Source: Alexandria via LeMat-Bulk
Functional: PBE-GGA
Structure: relaxed

Results
* Fermi-level density of states: 0.88 states/eV/cell
* calculated formation energy: 328 meV/atom

Cell lengths 2.554, 2.663, 7.998 Å; angles 90.00, 90.00, 90.00 degrees
Atoms (fractional coordinates):
Zn1 0.000 0.000 0.458
Be1 0.500 0.500 0.250
Zn2 0.000 0.000 0.042
P1 0.500 0.500 0.750

[10]
Compound: BeZn2P
Source: Alexandria via LeMat-Bulk
Functional: PBE-GGA
Structure: relaxed

Results
* Fermi-level density of states: 1.19 states/eV/cell
* calculated formation energy: 199 meV/atom

Cell lengths 5.854, 5.854, 5.854 Å; angles 153.42, 140.59, 48.17 degrees
Atoms (fractional coordinates):
Be1 0.483 0.483 0.000
Zn1 0.693 0.193 0.500
P1 0.312 0.812 0.500
Zn2 0.013 0.013 0.000

[11]
Compound: BeZn2P
Source: Alexandria via LeMat-Bulk
Functional: PBE-GGA
Structure: relaxed

Results
* Fermi-level density of states: 0.87 states/eV/cell
* calculated formation energy: 239 meV/atom

Cell lengths 7.684, 7.684, 7.684 Å; angles 21.78, 21.78, 21.78 degrees
Atoms (fractional coordinates):
Zn1 0.242 0.242 0.242
P1 0.761 0.761 0.761
Zn2 0.003 0.003 0.003
Be1 0.494 0.494 0.494

[12]
Compound: BeZnP2
Source: Alexandria via LeMat-Bulk
Functional: PBE-GGA
Structure: relaxed

Results
* Fermi-level density of states: 1.64 states/eV/cell
* calculated formation energy: 410 meV/atom

Cell lengths 2.814, 2.814, 7.284 Å; angles 90.00, 90.00, 90.00 degrees
Atoms (fractional coordinates):
Zn1 0.500 0.500 0.250
Be1 0.500 0.500 0.750
P1 0.000 0.000 0.930
P2 0.000 0.000 0.570

[13]
Compound: BeZnP2
Source: Alexandria via LeMat-Bulk
Functional: PBE-GGA
Structure: relaxed

Results
* Fermi-level density of states: 0.91 states/eV/cell
* calculated formation energy: 317 meV/atom

Cell lengths 9.131, 9.131, 9.131 Å; angles 17.22, 17.22, 17.22 degrees
Atoms (fractional coordinates):
Be1 0.750 0.750 0.750
P1 0.479 0.479 0.479
P2 0.021 0.021 0.021
Zn1 0.250 0.250 0.250

[14]
Compound: BeZn2P
Source: Alexandria via LeMat-Bulk
Functional: PBE-GGA
Structure: relaxed

Results
* Fermi-level density of states: 0.98 states/eV/cell
* calculated formation energy: 131 meV/atom

Cell lengths 6.012, 6.012, 3.217 Å; angles 75.22, 75.22, 30.53 degrees
Atoms (fractional coordinates):
Be1 0.250 0.250 0.250
Zn1 0.567 0.567 0.430
Zn2 0.933 0.933 0.070
P1 0.750 0.750 0.750

[15]
Compound: BeZnP2
Source: Alexandria via LeMat-Bulk
Functional: PBE-GGA
Structure: relaxed

Results
* Fermi-level density of states: 0.22 states/eV/cell
* calculated formation energy: -31 meV/atom

Cell lengths 3.742, 2.694, 6.294 Å; angles 90.00, 90.00, 90.00 degrees
Atoms (fractional coordinates):
Zn1 0.000 0.752 0.308
P1 0.500 0.250 0.486
P2 0.000 0.749 0.936
Be1 0.500 0.749 0.770

[16]
Compound: BeZn2P
Source: Alexandria via LeMat-Bulk
Functional: PBE-GGA
Structure: relaxed

Results
* Fermi-level density of states: 1.56 states/eV/cell
* calculated formation energy: 182 meV/atom

Cell lengths 3.291, 2.566, 6.761 Å; angles 101.20, 90.00, 90.00 degrees
Atoms (fractional coordinates):
Zn1 0.000 0.687 0.008
Be1 0.000 0.958 0.532
Zn2 0.500 0.325 0.277
P1 0.500 0.529 0.683

[17]
Compound: BeZnP2
Source: Alexandria via LeMat-Bulk
Functional: PBE-GGA
Structure: relaxed

Results
* Fermi-level density of states: 1.28 states/eV/cell
* calculated formation energy: 510 meV/atom

Cell lengths 4.429, 4.429, 4.429 Å; angles 126.15, 126.15, 79.64 degrees
Atoms (fractional coordinates):
Zn1 0.250 0.750 0.500
Be1 0.750 0.250 0.500
P1 0.000 0.000 0.000
P2 0.500 0.500 0.000

[18]
Compound: BeZnP2
Source: Alexandria via LeMat-Bulk
Functional: PBE-GGA
Structure: relaxed

Results
* Fermi-level density of states: 0.63 states/eV/cell
* calculated formation energy: 432 meV/atom

Cell lengths 3.040, 3.040, 6.054 Å; angles 90.00, 90.00, 90.00 degrees
Atoms (fractional coordinates):
P1 0.500 0.500 0.173
Be1 0.500 0.500 0.776
P2 0.000 0.000 0.995
Zn1 0.000 0.000 0.557

[19]
Compound: BeZnP2
Source: Alexandria via LeMat-Bulk
Functional: PBE-GGA
Structure: relaxed

Results
* Fermi-level density of states: 1.50 states/eV/cell
* calculated formation energy: 466 meV/atom

Cell lengths 5.315, 5.315, 5.315 Å; angles 142.06, 142.06, 54.74 degrees
Atoms (fractional coordinates):
Zn1 0.500 0.500 0.000
P1 0.000 0.000 0.000
P2 0.250 0.750 0.500
Be1 0.750 0.250 0.500

[20]
Compound: BeZnP
Source: Alexandria via LeMat-Bulk
Functional: PBE-GGA
Structure: relaxed

Results
* Fermi-level density of states: 1.72 states/eV/cell
* calculated formation energy: 429 meV/atom

Cell lengths 3.983, 3.983, 3.983 Å; angles 60.00, 60.00, 60.00 degrees
Atoms (fractional coordinates):
P1 0.500 0.500 0.500
Zn1 0.750 0.750 0.750
Be1 0.000 0.000 0.000

[21]
Compound: Be3ZnP
Source: Alexandria via LeMat-Bulk
Functional: PBE-GGA
Structure: relaxed

Results
* Fermi-level density of states: 2.01 states/eV/cell
* calculated formation energy: 665 meV/atom

Cell lengths 4.125, 4.125, 4.125 Å; angles 90.00, 90.00, 90.00 degrees
Atoms (fractional coordinates):
Be1 0.500 0.000 0.000
P1 0.000 0.000 0.000
Be2 0.000 0.500 0.000
Be3 0.000 0.000 0.500
Zn1 0.500 0.500 0.500

[22]
Compound: BeZnP
Source: Alexandria via LeMat-Bulk
Functional: PBE-GGA
Structure: relaxed

Results
* Fermi-level density of states: 0.41 states/eV/cell
* calculated formation energy: 347 meV/atom

Cell lengths 2.653, 2.653, 6.738 Å; angles 90.00, 90.00, 120.00 degrees
Atoms (fractional coordinates):
Be1 0.000 0.000 0.014
P1 0.667 0.333 0.273
Zn1 0.333 0.667 0.713

[23]
Compound: BeZn2P
Source: Alexandria via LeMat-Bulk
Functional: PBE-GGA
Structure: relaxed

Results
* Fermi-level density of states: 2.89 states/eV/cell
* calculated formation energy: 493 meV/atom

Cell lengths 4.328, 4.328, 4.328 Å; angles 60.00, 60.00, 60.00 degrees
Atoms (fractional coordinates):
P1 0.750 0.750 0.750
Be1 0.500 0.500 0.500
Zn1 0.250 0.250 0.250
Zn2 0.000 0.000 0.000

[24]
Compound: BeZnP2
Source: Alexandria via LeMat-Bulk
Functional: PBE-GGA
Structure: relaxed

Results
* Fermi-level density of states: 2.37 states/eV/cell
* calculated formation energy: 447 meV/atom

Cell lengths 9.473, 9.473, 9.473 Å; angles 16.94, 16.94, 16.94 degrees
Atoms (fractional coordinates):
P1 0.028 0.028 0.028
Zn1 0.491 0.491 0.491
Be1 0.752 0.752 0.752
P2 0.229 0.229 0.229

[25]
Compound: BeZnP2
Source: Alexandria via LeMat-Bulk
Functional: PBE-GGA
Structure: relaxed

Results
* Fermi-level density of states: 1.50 states/eV/cell
* calculated formation energy: 372 meV/atom

Cell lengths 4.578, 4.578, 4.578 Å; angles 136.18, 114.85, 81.85 degrees
Atoms (fractional coordinates):
Zn1 0.250 0.750 0.500
Be1 0.750 0.250 0.500
P1 0.946 0.946 0.000
P2 0.554 0.554 0.000

[26]
Compound: BeZnP2
Source: Alexandria via LeMat-Bulk
Functional: PBE-GGA
Structure: relaxed

Results
* Fermi-level density of states: 1.19 states/eV/cell
* calculated formation energy: 90 meV/atom

Cell lengths 3.843, 3.843, 6.560 Å; angles 86.30, 86.30, 39.40 degrees
Atoms (fractional coordinates):
Be1 0.158 0.158 0.200
Zn1 0.597 0.597 0.512
P1 0.855 0.855 0.728
P2 0.890 0.890 0.061

[27]
Compound: BeZn2P
Source: Alexandria via LeMat-Bulk
Functional: PBE-GGA
Structure: relaxed

Results
* Fermi-level density of states: 1.25 states/eV/cell
* calculated formation energy: 333 meV/atom

Cell lengths 2.751, 3.801, 5.217 Å; angles 90.00, 90.00, 90.00 degrees
Atoms (fractional coordinates):
P1 0.500 0.500 0.750
Zn1 0.000 0.000 0.486
Be1 0.500 0.500 0.250
Zn2 0.000 0.000 0.014

[28]
Compound: BeZn2P
Source: Alexandria via LeMat-Bulk
Functional: PBE-GGA
Structure: relaxed

Results
* Fermi-level density of states: 1.19 states/eV/cell
* calculated formation energy: 335 meV/atom

Cell lengths 4.763, 4.763, 4.763 Å; angles 134.18, 134.18, 66.80 degrees
Atoms (fractional coordinates):
Be1 0.500 0.500 0.000
Zn1 0.250 0.750 0.500
P1 0.750 0.250 0.500
Zn2 0.000 0.000 0.000

[29]
Compound: BeZnP
Source: Alexandria via LeMat-Bulk
Functional: PBE-GGA
Structure: relaxed

Results
* Fermi-level density of states: 0.77 states/eV/cell
* calculated formation energy: 349 meV/atom

Cell lengths 5.780, 5.654, 2.783 Å; angles 78.44, 73.42, 28.15 degrees
Atoms (fractional coordinates):
Zn1 0.647 0.647 0.353
P1 0.367 0.367 0.633
Be1 0.986 0.986 0.014

[30]
Compound: BeZn2P
Source: Alexandria via LeMat-Bulk
Functional: PBE-GGA
Structure: relaxed

Results
* Fermi-level density of states: 0.92 states/eV/cell
* calculated formation energy: 325 meV/atom

Cell lengths 7.885, 7.885, 7.885 Å; angles 21.05, 21.05, 21.05 degrees
Atoms (fractional coordinates):
Be1 0.250 0.250 0.250
Zn1 0.507 0.507 0.507
Zn2 0.993 0.993 0.993
P1 0.750 0.750 0.750

Sequential mass density output: 4301, 3308, 4325, 4518, 3941, 3997, 4862, 4499, 5216, 4995, 5181, 3926, 3890, 4981, 3568, 5063, 4139, 4047, 4019, 3917, 2920, 4262, 4949, 3596, 3888, 3690, 5199, 5188, 4284, 5118 kg/m³